VASP calculation (GGA-PBE) on AgSbCl2 after structural relaxation.

abc: 6.8056 6.8056 5.1326
angles: 97.69 97.69 29.63
Fractional positions:
Ag (0.0000, 0.0000, 0.0000)
Sb (0.5000, 0.5000, 0.5000)
Cl (0.3488, 0.3488, 0.7918)
Cl (0.6512, 0.6512, 0.2082)

Computed properties:
**Uncorrected energy**: -2.90 eV/atom
**Magnetic moment**: 0.00 Bohr magnetons per cell
**ΔE_f (raw)**: -236 meV per atom
**Energy above the most stable polymorph in this dataset**: 143 meV/atom

***

VASP calculation (GGA-PBE) on AgSb2Cl after structural relaxation.

abc: 5.1344 5.1344 5.1344
angles: 60.00 60.00 60.00
Fractional positions:
Ag (0.0000, 0.0000, 0.0000)
Sb (0.2500, 0.2500, 0.2500)
Sb (0.5000, 0.5000, 0.5000)
Cl (0.7500, 0.7500, 0.7500)

Computed properties:
**Uncorrected energy**: -3.19 eV/atom
**Magnetic moment**: 0.00 Bohr magnetons per cell
**ΔE_f (raw)**: 43 meV per atom
**Energy above the most stable polymorph in this dataset**: 139 meV/atom

***

VASP calculation (GGA-PBE) on AgSb2Cl after structural relaxation.

abc: 11.5701 11.5701 11.5701
angles: 158.27 158.27 30.92
Fractional positions:
Ag (0.0000, 0.0000, 0.0000)
Ag (0.7500, 0.2500, 0.5000)
Sb (0.0876, 0.6250, 0.9626)
Sb (0.3750, 0.3376, 0.4626)
Sb (0.6624, 0.1250, 0.0374)
Sb (0.8750, 0.9124, 0.5374)
Cl (0.2500, 0.7500, 0.5000)
Cl (0.5000, 0.5000, 0.0000)

Computed properties:
**Uncorrected energy**: -3.19 eV/atom
**Magnetic moment**: 0.00 Bohr magnetons per cell
**ΔE_f (raw)**: 42 meV per atom
**Energy above the most stable polymorph in this dataset**: 138 meV/atom

***

VASP calculation (GGA-PBE) on AgSb2Cl after structural relaxation.

abc: 5.6766 5.6766 3.2281
angles: 90.46 90.46 90.12
Fractional positions:
Ag (0.0000, 0.0000, 0.0000)
Sb (0.0000, 0.5000, 0.0000)
Sb (0.5000, 0.0000, 0.0000)
Cl (0.5000, 0.5000, 0.0000)

Computed properties:
**Uncorrected energy**: -3.24 eV/atom
**Magnetic moment**: 0.00 Bohr magnetons per cell
**ΔE_f (raw)**: -5 meV per atom
**Energy above the most stable polymorph in this dataset**: 91 meV/atom